(1)
# K2InOs (SCAN, PBEsol geometry)
# Calculated formation energy, eV/atom: 0.569
# Total moment, μB/cell: 0.02
data_K2InOs
_chemical_formula_sum 'K2 In1 Os1'
_cell_length_a 3.1024
_cell_length_b 4.2326
_cell_length_c 9.9427
_cell_angle_alpha 90.00
_cell_angle_beta 90.00
_cell_angle_gamma 90.00
_space_group_name_H-M_alt 'P m m 2'
_space_group_IT_number 25
_space_group_name_Hall 'P 2 -2'
loop_
_atom_site_label
_atom_site_type_symbol
_atom_site_fract_x
_atom_site_fract_y
_atom_site_fract_z
_atom_site_occupancy
K1 K 0.0000 0.0000 0.0000 1
K2 K 0.5000 0.5000 0.4143 1
In1 In 0.5000 0.5000 0.7299 1
Os1 Os 0.0000 0.0000 0.6821 1


(2)
# BeRe2As (SCAN, PBEsol geometry)
# Calculated formation energy, eV/atom: 0.395
# Distance to the lowest polymorph of the same formula, meV/atom: 490
# Total moment, μB/cell: 0.00
data_BeRe2As
_chemical_formula_sum 'Be3 Re6 As3'
_cell_length_a 2.8511
_cell_length_b 2.8511
_cell_length_c 22.8003
_cell_angle_alpha 90.00
_cell_angle_beta 90.00
_cell_angle_gamma 120.00
_space_group_name_H-M_alt 'R -3 m'
_space_group_IT_number 166
_space_group_name_Hall '-R 3 2"'
loop_
_atom_site_label
_atom_site_type_symbol
_atom_site_fract_x
_atom_site_fract_y
_atom_site_fract_z
_atom_site_occupancy
Be1 Be 0.0000 0.0000 0.0000 1
Re1 Re 0.0000 0.0000 0.2530 1
As1 As 0.0000 0.0000 0.5000 1


(3)
# ScTeAu2 (SCAN, PBEsol geometry)
# Formation energy without anion corrections, eV per formula unit: -2.1
# Total moment, μB/cell: 0.00
data_ScTeAu2
_chemical_formula_sum 'Sc2 Te2 Au4'
_cell_length_a 4.1281
_cell_length_b 4.1281
_cell_length_c 9.2253
_cell_angle_alpha 90.00
_cell_angle_beta 90.00
_cell_angle_gamma 90.00
_space_group_name_H-M_alt 'I 4/m m m'
_space_group_IT_number 139
_space_group_name_Hall '-I 4 2'
loop_
_atom_site_label
_atom_site_type_symbol
_atom_site_fract_x
_atom_site_fract_y
_atom_site_fract_z
_atom_site_occupancy
Sc1 Sc 0.0000 0.0000 0.0000 1
Te1 Te 0.0000 0.0000 0.5000 1
Au1 Au 0.0000 0.5000 0.2500 1


(4)
# TiBe3As (SCAN, PBEsol geometry)
# Calculated formation energy, eV/atom: 0.865
# Total moment, μB/cell: 0.00
data_TiBe3As
_chemical_formula_sum 'Ti1 Be3 As1'
_cell_length_a 4.1695
_cell_length_b 4.1695
_cell_length_c 4.1695
_cell_angle_alpha 90.00
_cell_angle_beta 90.00
_cell_angle_gamma 90.00
_space_group_name_H-M_alt 'P m -3 m'
_space_group_IT_number 221
_space_group_name_Hall '-P 4 2 3'
loop_
_atom_site_label
_atom_site_type_symbol
_atom_site_fract_x
_atom_site_fract_y
_atom_site_fract_z
_atom_site_occupancy
Ti1 Ti 0.0000 0.0000 0.0000 1
Be1 Be 0.0000 0.5000 0.5000 1
As1 As 0.5000 0.5000 0.5000 1


(5)
# ZrMnN2 (SCAN, PBEsol geometry)
# Formation energy without anion corrections, eV per formula unit: -4.2
# Total moment, μB/cell: 12.85
data_ZrMnN2
_chemical_formula_sum 'Zr3 Mn3 N6'
_cell_length_a 3.2975
_cell_length_b 3.2975
_cell_length_c 17.3626
_cell_angle_alpha 90.00
_cell_angle_beta 90.00
_cell_angle_gamma 120.00
_space_group_name_H-M_alt 'R -3 m'
_space_group_IT_number 166
_space_group_name_Hall '-R 3 2"'
loop_
_atom_site_label
_atom_site_type_symbol
_atom_site_fract_x
_atom_site_fract_y
_atom_site_fract_z
_atom_site_occupancy
Zr1 Zr 0.0000 0.0000 0.0000 1
Mn1 Mn 0.0000 0.0000 0.5000 1
N1 N 0.0000 0.0000 0.3952 1


(6)
# Rb2HfInPd (SCAN, PBEsol geometry)
# Calculated formation energy, eV/atom: 0.873
# Total moment, μB/cell: 0.82
data_Rb2HfInPd
_chemical_formula_sum 'Rb2 Hf1 In1 Pd1'
_cell_length_a 6.8266
_cell_length_b 6.8266
_cell_length_c 4.7103
_cell_angle_alpha 90.00
_cell_angle_beta 90.00
_cell_angle_gamma 90.00
_space_group_name_H-M_alt 'P 4/m m m'
_space_group_IT_number 123
_space_group_name_Hall '-P 4 2'
loop_
_atom_site_label
_atom_site_type_symbol
_atom_site_fract_x
_atom_site_fract_y
_atom_site_fract_z
_atom_site_occupancy
Rb1 Rb 0.0000 0.5000 0.0000 1
Hf1 Hf 0.0000 0.0000 0.0000 1
In1 In 0.5000 0.5000 0.5000 1
Pd1 Pd 0.0000 0.0000 0.5000 1


(7)
# Ac (SCAN, PBEsol geometry)
# Calculated formation energy, eV/atom: 0.022
# Distance to the lowest polymorph of the same formula, meV/atom: 22
# Total moment, μB/cell: 0.01
data_Ac
_chemical_formula_sum 'Ac2'
_cell_length_a 3.9252
_cell_length_b 3.9252
_cell_length_c 6.3628
_cell_angle_alpha 90.00
_cell_angle_beta 90.00
_cell_angle_gamma 120.00
_space_group_name_H-M_alt 'P 63/m m c'
_space_group_IT_number 194
_space_group_name_Hall '-P 6c 2c'
loop_
_atom_site_label
_atom_site_type_symbol
_atom_site_fract_x
_atom_site_fract_y
_atom_site_fract_z
_atom_site_occupancy
Ac1 Ac 0.3333 0.6667 0.2500 1


(8)
# YOs3N (SCAN, PBEsol geometry)
# Formation energy without anion corrections, eV per formula unit: 21.3
# Total moment, μB/cell: 5.49
data_YOs3N
_chemical_formula_sum 'Y1 Os3 N1'
_cell_length_a 4.8530
_cell_length_b 4.8530
_cell_length_c 4.8530
_cell_angle_alpha 90.00
_cell_angle_beta 90.00
_cell_angle_gamma 90.00
_space_group_name_H-M_alt 'P m -3 m'
_space_group_IT_number 221
_space_group_name_Hall '-P 4 2 3'
loop_
_atom_site_label
_atom_site_type_symbol
_atom_site_fract_x
_atom_site_fract_y
_atom_site_fract_z
_atom_site_occupancy
Y1 Y 0.0000 0.0000 0.0000 1
Os1 Os 0.0000 0.0000 0.5000 1
N1 N 0.5000 0.5000 0.5000 1


(9)
# KTaTiO5 (SCAN, PBEsol geometry)
# Formation energy without anion corrections, eV per formula unit: -24.4
# Total moment, μB/cell: 0.00
data_KTaTiO5
_chemical_formula_sum 'K4 Ta4 Ti4 O20'
_cell_length_a 6.4123
_cell_length_b 3.7913
_cell_length_c 18.4613
_cell_angle_alpha 90.00
_cell_angle_beta 90.00
_cell_angle_gamma 90.00
_space_group_name_H-M_alt 'P n m a'
_space_group_IT_number 62
_space_group_name_Hall '-P 2ac 2n'
loop_
_atom_site_label
_atom_site_type_symbol
_atom_site_fract_x
_atom_site_fract_y
_atom_site_fract_z
_atom_site_occupancy
K1 K 0.2167 0.2500 0.1956 1
Ta1 Ta 0.2280 0.2500 0.8906 1
Ti1 Ti 0.1804 0.2500 0.5339 1
O1 O 0.0362 0.2500 0.6205 1
O2 O 0.0638 0.7500 0.0716 1
O3 O 0.1454 0.7500 0.5088 1
O4 O 0.1561 0.2500 0.7962 1
O5 O 0.2389 0.7500 0.9199 1


(10)
# LiReSn3 (SCAN, PBEsol geometry)
# Calculated formation energy, eV/atom: 1.247
# Total moment, μB/cell: 3.32
data_LiReSn3
_chemical_formula_sum 'Li1 Re1 Sn3'
_cell_length_a 4.7613
_cell_length_b 4.7613
_cell_length_c 4.7613
_cell_angle_alpha 90.00
_cell_angle_beta 90.00
_cell_angle_gamma 90.00
_space_group_name_H-M_alt 'P m -3 m'
_space_group_IT_number 221
_space_group_name_Hall '-P 4 2 3'
loop_
_atom_site_label
_atom_site_type_symbol
_atom_site_fract_x
_atom_site_fract_y
_atom_site_fract_z
_atom_site_occupancy
Li1 Li 0.0000 0.0000 0.0000 1
Re1 Re 0.5000 0.5000 0.5000 1
Sn1 Sn 0.0000 0.0000 0.5000 1


(11)
# Cr2AgSe (SCAN, PBEsol geometry)
# Formation energy without anion corrections, eV per formula unit: 1.0
# Total moment, μB/cell: 1.09
data_Cr2AgSe
_chemical_formula_sum 'Cr8 Ag4 Se4'
_cell_length_a 6.3378
_cell_length_b 6.3378
_cell_length_c 6.3378
_cell_angle_alpha 90.00
_cell_angle_beta 90.00
_cell_angle_gamma 90.00
_space_group_name_H-M_alt 'F -4 3 m'
_space_group_IT_number 216
_space_group_name_Hall 'F -4 2 3'
loop_
_atom_site_label
_atom_site_type_symbol
_atom_site_fract_x
_atom_site_fract_y
_atom_site_fract_z
_atom_site_occupancy
Cr1 Cr 0.0000 0.0000 0.0000 1
Cr2 Cr 0.2500 0.2500 0.2500 1
Ag1 Ag 0.0000 0.0000 0.5000 1
Se1 Se 0.2500 0.2500 0.7500 1


(12)
# FeRe2Cl (SCAN, PBEsol geometry)
# Formation energy without anion corrections, eV per formula unit: 2.3
# Distance to the lowest polymorph of the same formula, meV/atom: 0
# Total moment, μB/cell: 5.72
data_FeRe2Cl
_chemical_formula_sum 'Fe3 Re6 Cl3'
_cell_length_a 2.7579
_cell_length_b 2.7579
_cell_length_c 24.6802
_cell_angle_alpha 90.00
_cell_angle_beta 90.00
_cell_angle_gamma 120.00
_space_group_name_H-M_alt 'R -3 m'
_space_group_IT_number 166
_space_group_name_Hall '-R 3 2"'
loop_
_atom_site_label
_atom_site_type_symbol
_atom_site_fract_x
_atom_site_fract_y
_atom_site_fract_z
_atom_site_occupancy
Fe1 Fe 0.0000 0.0000 0.0000 1
Re1 Re 0.0000 0.0000 0.2531 1
Cl1 Cl 0.0000 0.0000 0.5000 1


no.,mass density (g/cm³),total DFT energy (no corrections) (Ry per atom)
1,4.87,-2.1985
2,14.16,-3.0347
3,11.97,-3.5269
4,3.43,-0.6608
5,5.31,-1.3181
6,4.32,-2.4394
7,8.88,-6.6482
8,9.79,-3.4030
9,5.15,-1.3457
10,8.45,-2.5727
11,7.59,-1.6026
12,14.21,-3.0497